(1)
DFT (SCAN) results for a crystal of Cu3Ag relaxed with PBEsol.

a = 4.863 Å, b = 4.863 Å, c = 4.863 Å
α = 116.94°, β = 116.94°, γ = 116.94°
Fractional positions:
Cu  0.000  0.500  0.500
Cu  0.500  0.000  0.500
Cu  0.500  0.500  0.000
Ag  0.000  0.000  0.000

Results
Formation energy: 0.1658 eV/atom
Magnetic moment: 0.000 μB per atom

---

(2)
DFT (SCAN) results for a crystal of Y2Cl relaxed with PBEsol.

a = 7.520 Å, b = 7.520 Å, c = 5.601 Å
α = 90.00°, β = 90.00°, γ = 151.89°
Fractional positions:
Y  0.050  0.950  0.750
Y  0.348  0.652  0.750
Y  0.652  0.348  0.250
Y  0.950  0.050  0.250
Cl  0.302  0.698  0.250
Cl  0.698  0.302  0.750

Results
Excess energy over the best structure of this formula in the dataset: 0 kJ/mol of formula units
Magnetic moment: 0.000 μB per atom

---

(3)
DFT (SCAN) results for a crystal of ZrCr2Se relaxed with PBEsol.

a = 4.176 Å, b = 4.176 Å, c = 3.369 Å
α = 90.00°, β = 90.00°, γ = 90.00°
Fractional positions:
Zr  0.000  0.000  0.000
Cr  0.000  0.500  0.500
Cr  0.500  0.000  0.500
Se  0.500  0.500  0.000

Results
Total energy: -21.86 eV per atom
Magnetic moment: 0.932 μB per atom

---

(4)
DFT (SCAN) results for a crystal of Rb2LiNdBr6 relaxed with PBEsol.

a = 7.776 Å, b = 7.776 Å, c = 7.776 Å
α = 60.00°, β = 60.00°, γ = 60.00°
Fractional positions:
Rb  0.250  0.250  0.250
Rb  0.750  0.750  0.750
Li  0.000  0.000  0.000
Nd  0.500  0.500  0.500
Br  0.242  0.242  0.758
Br  0.242  0.758  0.242
Br  0.242  0.758  0.758
Br  0.758  0.242  0.242
Br  0.758  0.242  0.758
Br  0.758  0.758  0.242

Results
Total energy: -22.40 eV per atom
Magnetic moment: 0.000 μB per atom

---

(5)
DFT (SCAN) results for a crystal of Ag5Te3 relaxed with PBEsol.

a = 8.228 Å, b = 8.228 Å, c = 8.228 Å
α = 99.00°, β = 99.00°, γ = 133.41°
Fractional positions:
Ag  0.000  0.500  0.500
Ag  0.026  0.733  0.252
Ag  0.233  0.526  0.252
Ag  0.273  0.981  0.748
Ag  0.481  0.773  0.748
Ag  0.500  0.000  0.500
Ag  0.526  0.273  0.293
Ag  0.733  0.481  0.707
Ag  0.773  0.026  0.293
Ag  0.981  0.233  0.707
Te  0.243  0.351  0.500
Te  0.265  0.265  0.000
Te  0.351  0.851  0.108
Te  0.743  0.243  0.892
Te  0.765  0.765  0.000
Te  0.851  0.743  0.500

Results
Total energy: -33.59 eV per atom
Magnetic moment: 0.000 μB per atom

---

(6)
DFT (SCAN) results for a crystal of TmMoO4F relaxed with PBEsol.

a = 5.130 Å, b = 12.115 Å, c = 6.541 Å
α = 90.00°, β = 113.83°, γ = 90.00°
Fractional positions:
Tm  0.140  0.050  0.300
Tm  0.140  0.450  0.800
Tm  0.860  0.550  0.200
Tm  0.860  0.950  0.700
Mo  0.418  0.143  0.869
Mo  0.418  0.357  0.369
Mo  0.582  0.643  0.631
Mo  0.582  0.857  0.131
O  0.189  0.065  0.964
O  0.189  0.435  0.464
O  0.260  0.653  0.403
O  0.260  0.847  0.903
O  0.306  0.221  0.295
O  0.306  0.279  0.795
O  0.500  0.069  0.661
O  0.500  0.431  0.161
O  0.500  0.569  0.839
O  0.500  0.931  0.339
O  0.694  0.721  0.205
O  0.694  0.779  0.705
O  0.740  0.153  0.097
O  0.740  0.347  0.597
O  0.811  0.565  0.536
O  0.811  0.935  0.036
F  0.037  0.599  0.959
F  0.037  0.901  0.459
F  0.963  0.099  0.541
F  0.963  0.401  0.041

Results
Total energy: -19.55 eV per atom
Magnetic moment: 0.000 μB per atom

---

(7)
DFT (SCAN) results for a crystal of KCaCo2 relaxed with PBEsol.

a = 5.374 Å, b = 5.374 Å, c = 5.374 Å
α = 135.39°, β = 134.40°, γ = 65.70°
Fractional positions:
K  0.000  0.000  0.000
Ca  0.500  0.500  0.000
Co  0.250  0.750  0.500
Co  0.750  0.250  0.500

Results
Excess energy over the best structure of this formula in the dataset: 73 kJ/mol of formula units
Formation energy: 1.0718 eV/atom
Magnetic moment: 0.881 μB per atom

---

(8)
DFT (SCAN) results for a crystal of La2HgRu relaxed with PBEsol.

a = 3.553 Å, b = 3.553 Å, c = 7.833 Å
α = 90.00°, β = 90.00°, γ = 90.00°
Fractional positions:
La  0.000  0.000  0.216
La  0.000  0.000  0.784
Hg  0.500  0.500  0.500
Ru  0.500  0.500  0.000

Results
Formation energy: -0.4457 eV/atom
Magnetic moment: 0.000 μB per atom

---

no.,D(E_F) (states/eV/f.u.)
1,1.376
2,2.049
3,1.851
4,0.000
5,1.931
6,0.000
7,3.002
8,3.271